The following is a DFT calculation (PBE) of a relaxed structure of KMn.

Its formation energy is 1008 meV/atom. The density of states at the Fermi level is 8.935 states/eV per cell. Its total energy is -4.126 eV per atom.

The structure belongs to space group Cmcm (No. 63); the cell edges are 5.1473, 12.9663 and 4.7816 Å and the angles 90.00°, 90.00° and 90.00°. The inequivalent atoms are K at (0.0000, 0.1522, 0.2500) and Mn at (0.0000, 0.4556, 0.2500).